[1]
VASP calculation (GGA-PBE) on a relaxed Li6Ag5P crystal.

Structure (POSCAR):
```
Li6Ag5P
1.0
4.230 0.000 0.000
0.000 6.852 0.000
-2.087 0.000 6.397
Li Ag P
6 5 1
direct
0.000 0.231 0.000
0.000 0.769 0.000
0.344 0.237 0.689
0.344 0.763 0.689
0.656 0.237 0.311
0.656 0.763 0.311
0.170 0.000 0.341
0.170 0.500 0.340
0.500 0.500 0.000
0.830 0.000 0.659
0.830 0.500 0.660
0.500 0.000 0.000
```

Properties
M_tot: 0.00 μB/f.u.
Formation enthalpy at 0 K: -274 meV/atom

=====

[2]
VASP calculation (GGA-PBE) on a relaxed Li3AgP crystal.

Structure (POSCAR):
```
Li3AgP
1.0
5.779 0.000 0.000
0.000 4.188 0.000
-2.399 0.000 6.490
Li Ag P
6 2 2
direct
0.121 0.250 0.056
0.350 0.250 0.448
0.373 0.750 0.827
0.627 0.250 0.173
0.650 0.750 0.552
0.879 0.750 0.944
0.036 0.750 0.379
0.964 0.250 0.621
0.347 0.750 0.192
0.653 0.250 0.808
```

Properties
M_tot: 0.00 μB/f.u.
Formation enthalpy at 0 K: -459 meV/atom
Offset from the most stable computed form: 0 meV/atom

=====

[3]
VASP calculation (GGA-PBE) on a relaxed LiAg2P crystal.

Structure (POSCAR):
```
LiAg2P
1.0
0.000 3.198 3.198
3.198 0.000 3.198
3.198 3.198 0.000
Li Ag P
1 2 1
direct
0.000 0.000 0.000
0.500 0.500 0.500
0.750 0.750 0.750
0.250 0.250 0.250
```

Properties
M_tot: 0.00 μB/f.u.
Formation enthalpy at 0 K: -50 meV/atom
Offset from the most stable computed form: 65 meV/atom

=====

[4]
VASP calculation (GGA-PBE) on a relaxed LiAgP3 crystal.

Structure (POSCAR):
```
LiAgP3
1.0
4.406 0.000 0.000
0.000 4.406 0.000
0.000 0.000 4.406
Li Ag P
1 1 3
direct
0.000 0.000 0.000
0.500 0.500 0.500
0.000 0.000 0.500
0.000 0.500 0.000
0.500 0.000 0.000
```

Properties
M_tot: 0.00 μB/f.u.
Formation enthalpy at 0 K: 829 meV/atom
Offset from the most stable computed form: 0 meV/atom

=====

[5]
VASP calculation (GGA-PBE) on a relaxed LiAg2P crystal.

Structure (POSCAR):
```
LiAg2P
1.0
-2.089 2.089 3.658
2.089 -2.089 3.658
2.089 2.089 -3.658
Li Ag P
1 2 1
direct
0.000 0.000 0.000
0.250 0.750 0.500
0.750 0.250 0.500
0.500 0.500 0.000
```

Properties
M_tot: 0.00 μB/f.u.
Formation enthalpy at 0 K: -115 meV/atom
Offset from the most stable computed form: 0 meV/atom

=====

[6]
VASP calculation (GGA-PBE) on a relaxed LiAg2P crystal.

Structure (POSCAR):
```
LiAg2P
1.0
1.477 0.853 8.877
-1.477 0.853 8.877
0.000 -1.705 8.877
Li Ag P
1 2 1
direct
0.000 0.000 0.000
0.249 0.249 0.249
0.751 0.751 0.751
0.500 0.500 0.500
```

Properties
M_tot: 0.00 μB/f.u.
Formation enthalpy at 0 K: 145 meV/atom
Offset from the most stable computed form: 259 meV/atom

=====

[7]
VASP calculation (GGA-PBE) on a relaxed LiAg2P crystal.

Structure (POSCAR):
```
LiAg2P
1.0
-2.046 2.046 3.866
2.046 -2.046 3.866
2.046 2.046 -3.866
Li Ag P
1 2 1
direct
0.000 0.000 0.000
0.250 0.750 0.500
0.500 0.500 0.000
0.750 0.250 0.500
```

Properties
M_tot: 0.00 μB/f.u.
Formation enthalpy at 0 K: -80 meV/atom
Offset from the most stable computed form: 35 meV/atom

=====

[8]
VASP calculation (GGA-PBE) on a relaxed LiAg2P crystal.

Structure (POSCAR):
```
LiAg2P
1.0
2.952 0.000 0.000
0.000 4.194 0.000
-1.463 0.000 5.345
Li Ag P
1 2 1
direct
0.000 0.000 0.000
0.354 0.500 0.702
0.728 0.000 0.451
0.586 0.500 0.178
```

Properties
M_tot: 0.00 μB/f.u.
Formation enthalpy at 0 K: -80 meV/atom
Offset from the most stable computed form: 35 meV/atom

=====

[9]
VASP calculation (GGA-PBE) on a relaxed LiAg2P crystal.

Structure (POSCAR):
```
LiAg2P
1.0
4.487 -1.494 0.000
4.487 1.494 0.000
-0.746 0.000 4.845
Li Ag P
1 2 1
direct
0.000 0.000 0.000
0.244 0.244 0.749
0.756 0.756 0.251
0.500 0.500 0.500
```

Properties
M_tot: 0.00 μB/f.u.
Formation enthalpy at 0 K: -69 meV/atom
Offset from the most stable computed form: 46 meV/atom

=====

[10]
VASP calculation (GGA-PBE) on a relaxed LiAg2P crystal.

Structure (POSCAR):
```
LiAg2P
1.0
2.948 0.000 0.000
0.000 3.960 0.000
0.000 0.000 5.533
Li Ag P
1 2 1
direct
0.000 0.000 0.000
0.000 0.000 0.470
0.500 0.500 0.748
0.500 0.500 0.219
```

Properties
M_tot: 0.00 μB/f.u.
Formation enthalpy at 0 K: -46 meV/atom
Offset from the most stable computed form: 69 meV/atom

=====

[11]
VASP calculation (GGA-PBE) on a relaxed LiAg3P crystal.

Structure (POSCAR):
```
LiAg3P
1.0
4.772 0.000 0.000
0.000 4.772 0.000
0.000 0.000 4.772
Li Ag P
1 3 1
direct
0.000 0.000 0.000
0.000 0.500 0.500
0.500 0.000 0.500
0.500 0.500 0.000
0.500 0.500 0.500
```

Properties
M_tot: 0.00 μB/f.u.
Formation enthalpy at 0 K: 120 meV/atom
Offset from the most stable computed form: 0 meV/atom

=====

[12]
VASP calculation (GGA-PBE) on a relaxed Li6AgP2 crystal.

Structure (POSCAR):
```
Li6AgP2
1.0
7.283 0.000 0.000
-3.642 6.307 0.000
0.000 0.000 2.764
Li Ag P
6 1 2
direct
0.000 0.345 0.000
0.000 0.655 0.000
0.345 0.000 0.000
0.345 0.345 0.000
0.655 0.000 0.000
0.655 0.655 0.000
0.000 0.000 0.500
0.333 0.667 0.500
0.667 0.333 0.500
```

Properties
M_tot: 0.00 μB/f.u.
Formation enthalpy at 0 K: -359 meV/atom

=====

[13]
VASP calculation (GGA-PBE) on a relaxed Li3AgP crystal.

Structure (POSCAR):
```
Li3AgP
1.0
4.655 0.000 0.000
0.000 4.655 0.000
0.000 0.000 4.655
Li Ag P
3 1 1
direct
0.000 0.000 0.500
0.000 0.500 0.000
0.500 0.000 0.000
0.000 0.000 0.000
0.500 0.500 0.500
```

Properties
M_tot: 0.00 μB/f.u.
Formation enthalpy at 0 K: 246 meV/atom
Offset from the most stable computed form: 705 meV/atom

=====

[14]
VASP calculation (GGA-PBE) on a relaxed LiAg2P crystal.

Structure (POSCAR):
```
LiAg2P
1.0
0.000 3.170 3.170
3.170 0.000 3.170
3.170 3.170 0.000
Li Ag P
1 2 1
direct
0.000 0.000 0.000
0.250 0.250 0.250
0.750 0.750 0.750
0.500 0.500 0.500
```

Properties
M_tot: 0.00 μB/f.u.
Formation enthalpy at 0 K: -108 meV/atom
Offset from the most stable computed form: 6 meV/atom

=====

[15]
VASP calculation (GGA-PBE) on a relaxed Li2AgP2Pd5 crystal.

Structure (POSCAR):
```
Li2AgP2Pd5
1.0
9.584 0.000 0.000
0.000 9.584 0.000
0.000 0.000 3.429
Li Ag P Pd
4 2 4 10
direct
0.171 0.329 0.000
0.329 0.829 0.000
0.671 0.171 0.000
0.829 0.671 0.000
0.000 0.000 0.000
0.500 0.500 0.000
0.131 0.631 0.000
0.369 0.131 0.000
0.631 0.869 0.000
0.869 0.369 0.000
0.000 0.500 0.500
0.074 0.789 0.500
0.211 0.074 0.500
0.289 0.574 0.500
0.426 0.289 0.500
0.500 0.000 0.500
0.574 0.711 0.500
0.711 0.426 0.500
0.789 0.926 0.500
0.926 0.211 0.500
```

Properties
M_tot: 0.00 μB/f.u.
Formation enthalpy at 0 K: -454 meV/atom

=====

[16]
VASP calculation (GGA-PBE) on a relaxed LiPmAgP crystal.

Structure (POSCAR):
```
LiPmAgP
1.0
0.000 3.446 3.446
3.446 0.000 3.446
3.446 3.446 0.000
Li Pm Ag P
1 1 1 1
direct
0.000 0.000 0.000
0.500 0.500 0.500
0.750 0.750 0.750
0.250 0.250 0.250
```

Properties
M_tot: 0.00 μB/f.u.
Formation enthalpy at 0 K: -540 meV/atom

=====

[17]
VASP calculation (GGA-PBE) on a relaxed RbLi2AgP crystal.

Structure (POSCAR):
```
RbLi2AgP
1.0
4.934 0.000 0.000
0.000 4.934 0.000
0.000 0.000 5.134
Rb Li Ag P
1 2 1 1
direct
0.000 0.000 0.000
0.000 0.500 0.500
0.500 0.000 0.500
0.500 0.500 0.000
0.500 0.500 0.500
```

Properties
M_tot: 0.00 μB/f.u.
Formation enthalpy at 0 K: -210 meV/atom

=====

[18]
VASP calculation (GGA-PBE) on a relaxed LiAgP2S crystal.

Structure (POSCAR):
```
LiAgP2S
1.0
4.390 0.000 0.000
0.000 4.390 0.000
0.000 0.000 4.544
Li Ag P S
1 1 2 1
direct
0.000 0.000 0.000
0.500 0.500 0.500
0.000 0.500 0.000
0.500 0.000 0.000
0.000 0.000 0.500
```

Properties
M_tot: 0.00 μB/f.u.
Offset from the most stable computed form: 0 meV/atom
Formation energy (no corrections): 733 meV/atom

=====

[19]
VASP calculation (GGA-PBE) on a relaxed Li2AgPS4 crystal.

Structure (POSCAR):
```
Li2AgPS4
1.0
-2.808 2.808 5.160
2.808 -2.808 5.160
2.808 2.808 -5.160
Li Ag P S
2 1 1 4
direct
0.250 0.750 0.500
0.750 0.250 0.500
0.000 0.000 0.000
0.500 0.500 0.000
0.172 0.172 0.581
0.409 0.828 0.000
0.591 0.591 0.419
0.828 0.409 0.000
```

Properties
M_tot: 0.00 μB/f.u.
Formation energy (no corrections): -683 meV/atom

=====

[20]
VASP calculation (GGA-PBE) on a relaxed LiAgP2S crystal.

Structure (POSCAR):
```
LiAgP2S
1.0
4.808 0.000 0.000
0.000 4.808 0.000
0.000 0.000 5.096
Li Ag P S
1 1 2 1
direct
0.000 0.000 0.000
0.500 0.500 0.500
0.000 0.500 0.500
0.500 0.000 0.500
0.500 0.500 0.000
```

Properties
M_tot: 1.13 μB/f.u.
Offset from the most stable computed form: 17 meV/atom
Formation energy (no corrections): 750 meV/atom